No. 1
PBE Ti2FeW2, relaxed; SG = No. 139; total DFT energy (no corrections) = -45.4 eV per cell; calculated volume = 84 Å³/cell; relative energy among the computed polymorphs = 285 kJ/mol of formula units; formation enthalpy at 0 K = 0.95 eV per atom
1.0
-1.770 1.770 6.714
1.770 -1.770 6.714
1.770 1.770 -6.714
Ti Fe W
2 1 2
Cartesian
1.770 0.000 3.357 Ti
0.000 1.770 3.357 Ti
0.000 0.000 0.000 Fe
0.000 0.000 5.507 W
0.000 0.000 7.921 W

=====

No. 2
PBE TiFeW3, relaxed; SG = No. 221; total DFT energy (no corrections) = -44.0 eV per cell; calculated volume = 92 Å³/cell; relative energy among the computed polymorphs = 523 kJ/mol of formula units; formation enthalpy at 0 K = 2.25 eV per atom
1.0
4.509 0.000 0.000
0.000 4.509 0.000
0.000 0.000 4.509
Ti Fe W
1 1 3
Cartesian
0.000 0.000 0.000 Ti
2.255 2.255 2.255 Fe
0.000 0.000 2.255 W
0.000 2.255 0.000 W
2.255 0.000 0.000 W

=====

No. 3
PBE Ti2FeW2, relaxed; SG = No. 127; total DFT energy (no corrections) = -96.7 eV per cell; calculated volume = 164 Å³/cell; relative energy among the computed polymorphs = 0 kJ/mol of formula units; formation enthalpy at 0 K = 0.36 eV per atom
1.0
6.248 0.000 0.000
0.000 6.248 0.000
0.000 0.000 4.201
Ti Fe W
4 2 4
Cartesian
1.047 2.077 0.000 Ti
2.077 5.201 0.000 Ti
4.172 1.047 0.000 Ti
5.201 4.172 0.000 Ti
0.000 0.000 2.101 Fe
3.124 3.124 2.101 Fe
0.936 4.060 2.101 W
2.188 0.936 2.101 W
4.060 5.312 2.101 W
5.312 2.188 2.101 W

=====

No. 4
PBE TiFe2W, relaxed; SG = No. 123; total DFT energy (no corrections) = -38.2 eV per cell; calculated volume = 53 Å³/cell; formation enthalpy at 0 K = -0.11 eV per atom
1.0
4.261 0.000 0.000
0.000 4.261 0.000
0.000 0.000 2.936
Ti Fe W
1 2 1
Cartesian
0.000 0.000 0.000 Ti
0.000 2.131 1.468 Fe
2.131 0.000 1.468 Fe
2.131 2.131 0.000 W

=====

No. 5
PBE TiFeW, relaxed; SG = No. 63; total DFT energy (no corrections) = -57.9 eV per cell; calculated volume = 88 Å³/cell; relative energy among the computed polymorphs = 60 kJ/mol of formula units; formation enthalpy at 0 K = 0.12 eV per atom
1.0
2.248 -3.882 0.000
2.248 3.882 0.000
0.000 0.000 5.030
Ti Fe W
2 2 2
Cartesian
2.248 2.593 3.773 Ti
2.248 -2.593 1.258 Ti
2.248 2.582 1.258 Fe
2.248 -2.582 3.773 Fe
2.248 0.000 0.000 W
2.248 0.000 2.515 W

=====

No. 6
PBE TiFe8W3, relaxed; SG = No. 156; total DFT energy (no corrections) = -115.3 eV per cell; calculated volume = 148 Å³/cell; formation enthalpy at 0 K = -0.07 eV per atom
1.0
4.694 0.000 0.000
-2.347 4.065 0.000
0.000 0.000 7.742
Ti Fe W
1 8 3
Cartesian
0.000 0.000 0.000 Ti
0.000 1.328 5.300 Fe
-1.197 3.401 5.300 Fe
0.000 2.710 3.361 Fe
0.000 2.710 7.233 Fe
2.347 0.030 1.410 Fe
1.200 2.017 1.410 Fe
1.197 3.401 5.300 Fe
3.494 2.017 1.410 Fe
0.000 0.000 2.875 W
2.347 1.355 3.847 W
2.347 1.355 6.660 W

=====

No. 7
PBE TiFeW, relaxed; SG = No. 129; total DFT energy (no corrections) = -59.1 eV per cell; calculated volume = 88 Å³/cell; relative energy among the computed polymorphs = 0 kJ/mol of formula units; formation enthalpy at 0 K = -0.09 eV per atom
1.0
3.113 0.000 0.000
0.000 3.113 0.000
0.000 0.000 9.046
Ti Fe W
2 2 2
Cartesian
0.778 0.778 2.090 Ti
2.335 2.335 6.955 Ti
0.778 0.778 8.389 Fe
2.335 2.335 0.657 Fe
0.778 0.778 5.283 W
2.335 2.335 3.763 W

=====

No. 8
PBE TiFeW2, relaxed; SG = No. 122; total DFT energy (no corrections) = -79.7 eV per cell; calculated volume = 127 Å³/cell; relative energy among the computed polymorphs = 167 kJ/mol of formula units; formation enthalpy at 0 K = 0.60 eV per atom
1.0
-3.530 3.530 2.553
3.530 -3.530 2.553
3.530 3.530 -2.553
Ti Fe W
2 2 4
Cartesian
0.000 0.000 0.000 Ti
0.000 3.530 1.277 Ti
3.530 0.000 1.277 Fe
0.000 0.000 2.553 Fe
1.765 -1.500 1.915 W
2.030 1.765 0.638 W
1.765 5.030 -0.638 W
1.500 1.765 3.192 W